First-principles (PBE-GGA) data for La7Er3 after structural relaxation, as listed in Alexandria via LeMat-Bulk.

a b c (Å): 5.5962 7.2326 9.8379
angles (deg): 111.54 106.52 90.00
Element x y z (fractional)
La1 0.0000 0.5000 0.0000
La2 0.1976 0.1981 0.3952
La3 0.8024 0.8019 0.6048
La4 0.3937 0.1416 0.7873
La5 0.6063 0.8584 0.2127
La6 0.3932 0.6442 0.7865
La7 0.6068 0.3558 0.2135
Er1 0.0000 0.0000 0.0000
Er2 0.1992 0.7003 0.3985
Er3 0.8008 0.2997 0.6015

- DOS(E_F): 1.625 states/eV per atom
- E: -4.7608 eV per atom
- Energy of formation from the pure elements: 0.57 eV per formula unit